DFT (PBE) results for an optimized crystal structure of Ho2TmCo2.

Unit cell a=3.9062 b=5.8704 c=5.7494 alpha=61.99 beta=70.14 gamma=70.57
Element x y z (fractional)
Ho: 0.6942 0.8123 0.2993
Ho: 0.3058 0.1877 0.7007
Tm: 0.5000 0.5000 0.0000
Co: 0.0132 0.1783 0.2953
Co: 0.9868 0.8217 0.7047

Calculated values
**Spin magnetization**: 0.00 μB per atom
**Energy of formation from the pure elements**: -186 meV per atom
**Density of states at the Fermi level**: 4.4 states/eV per cell
**Mass density**: 9.6 g cm⁻³
**Energy above the lowest structure with this stoichiometry**: 1.47 kJ per mole of atoms

DFT (PBE) results for an optimized crystal structure of Pm12TmAl3.

Unit cell a=4.9018 b=4.9018 c=19.9311 alpha=90.00 beta=90.00 gamma=90.00
Element x y z (fractional)
Pm: 0.5000 0.5000 0.0000
Pm: 0.5000 0.5000 0.2561
Pm: 0.5000 0.5000 0.5000
Pm: 0.5000 0.5000 0.7439
Pm: 0.5000 0.0000 0.1337
Pm: 0.5000 0.0000 0.3778
Pm: 0.5000 0.0000 0.6222
Pm: 0.5000 0.0000 0.8663
Pm: 0.0000 0.5000 0.1337
Pm: 0.0000 0.5000 0.3778
Pm: 0.0000 0.5000 0.6222
Pm: 0.0000 0.5000 0.8663
Tm: 0.0000 0.0000 0.0000
Al: 0.0000 0.0000 0.2572
Al: 0.0000 0.0000 0.5000
Al: 0.0000 0.0000 0.7428

Calculated values
**Spin magnetization**: 0.00 μB per atom
**Energy of formation from the pure elements**: -116 meV per atom
**Density of states at the Fermi level**: 22.6 states/eV per cell
**Mass density**: 6.9 g cm⁻³

Question: Look up the mass density of the second one.
Answer: 6.9 g cm⁻³